Record 1
La2CrNi9, optimized geometry, DFT GGA-PBE; SG = R-3m (166); E = -6.039 eV/atom
1.0
4.9316 0.0000 0.0000
2.4658 4.2709 0.0000
2.4658 1.4236 8.2831
Ni Cr La
9 1 2
Cartesian
7.3974 4.2709 8.2680
3.7015 2.1370 1.9431
3.7015 3.5575 6.3400
2.4658 1.4236 0.0151
4.9316 2.8472 4.1416
4.9316 4.2677 1.9431
6.1617 2.1370 1.9431
4.9316 1.4268 6.3400
6.1617 3.5575 6.3400
0.0000 0.0000 0.0000
7.3974 4.2709 3.3233
2.4658 1.4236 4.9598

---

Record 2
LaCrNi2, optimized geometry, DFT GGA-PBE; SG = Fm-3m (225); E above lowest polymorph = 215 meV/atom; E = -6.032 eV/atom
1.0
3.9414 -2.1463 -0.7736
0.0022 -4.3874 -1.2207
1.1542 -1.1822 -4.2438
Ni Cr La
2 1 1
Cartesian
1.2745 -1.9290 -1.5595
3.8234 -5.7870 -4.6785
0.0000 0.0000 0.0000
2.5489 -3.8580 -3.1190

---

Record 3
LaCrNi3, optimized geometry, DFT GGA-PBE; SG = Pm-3m (221); E above lowest polymorph = 1037 meV/atom; E = -5.024 eV/atom
1.0
4.7168 0.0000 0.0000
0.0000 4.7168 0.0000
0.0000 0.0000 4.7168
La Ni Cr
1 3 1
Cartesian
0.0000 0.0000 0.0000
2.3584 0.0000 0.0000
0.0000 0.0000 2.3584
0.0000 2.3584 0.0000
2.3584 2.3584 2.3584

---

Record 4
La2CrNi, optimized geometry, DFT GGA-PBE; SG = C2/m (12); E above lowest polymorph = 187 meV/atom; E = -6.020 eV/atom
1.0
-3.1731 -1.5686 1.7556
-2.6563 -2.2397 -1.8812
2.6989 -7.5738 1.7811
Cr La Ni
1 2 1
Cartesian
-0.7826 -2.8455 0.4139
-1.4373 -5.8765 0.8801
2.5709 -7.3884 1.7287
-2.3478 -8.5366 1.2416

---

Record 5
LaCrNi2, optimized geometry, DFT GGA-PBE; SG = I-42d (122); E above lowest polymorph = 0 meV/atom; E = -6.247 eV/atom
1.0
4.5815 0.0000 0.0000
0.0000 4.5815 0.0000
2.2907 2.2907 7.9884
La Ni Cr
2 4 2
Cartesian
0.0000 0.0000 0.0000
4.5815 2.2907 3.9942
2.1337 3.4361 1.9971
5.7268 4.7385 5.9913
2.4478 1.1454 1.9971
3.4361 4.4244 5.9913
2.2907 4.5815 3.9942
2.2907 2.2907 0.0000

---

Record 6
LaCrNi, optimized geometry, DFT GGA-PBE; SG = F-43m (216); E above lowest polymorph = 772 meV/atom; E = -5.851 eV/atom
1.0
-0.9820 3.5302 -2.7808
0.6557 -0.3938 -4.5359
-3.6151 -0.2412 -2.8341
Ni La Cr
1 1 1
Cartesian
0.0000 0.0000 0.0000
-2.9561 2.1714 -7.6131
-1.9707 1.4476 -5.0754

---

Record 7
LaCrNi3, optimized geometry, DFT GGA-PBE; SG = Pm-3m (221); E above lowest polymorph = 0 meV/atom; E = -6.061 eV/atom
1.0
4.4401 0.0000 0.0000
0.0000 4.4401 0.0000
0.0000 0.0000 4.4401
Ni La Cr
3 1 1
Cartesian
0.0000 2.2201 0.0000
2.2201 0.0000 0.0000
0.0000 0.0000 2.2201
2.2201 2.2201 2.2201
0.0000 0.0000 0.0000

---

Record 8
La3CrNi, optimized geometry, DFT GGA-PBE; SG = Pm-3m (221); E above lowest polymorph = 0 meV/atom; E = -5.736 eV/atom
1.0
-2.6501 -0.3345 -4.7484
2.7950 -4.5086 -1.2422
-3.8533 -3.0402 2.3646
La Ni Cr
3 1 1
Cartesian
-1.3250 -0.1673 -2.3742
-1.9266 -1.5201 1.1823
1.3975 -2.2543 -0.6211
0.0000 0.0000 0.0000
-1.8542 -3.9417 -1.8130

---

Record 9
La2CrNi, optimized geometry, DFT GGA-PBE; SG = P4mm (99); E above lowest polymorph = 143 meV/atom; E = -6.065 eV/atom
1.0
-0.5004 3.2259 0.8878
-1.6970 -1.0184 2.7438
7.1186 -0.0974 4.3667
La Ni Cr
2 1 1
Cartesian
1.2396 1.0718 3.2501
6.6613 -0.0911 4.0862
4.0286 -0.0551 2.4712
3.6696 1.0385 4.7408

---

Record 10
LaCrNi, optimized geometry, DFT GGA-PBE; SG = I4mm (107); E above lowest polymorph = 131 meV/atom; E = -6.492 eV/atom
1.0
-0.6547 -4.8403 -3.0677
-1.2707 -5.4009 1.5760
-1.3363 5.5884 0.5011
La Ni Cr
1 1 1
Cartesian
-0.6328 -3.3656 -0.4902
-1.1986 -6.3754 -0.9286
-0.0940 -0.5002 -0.0729

---

Record 11
La2CrNi, optimized geometry, DFT GGA-PBE; SG = Amm2 (38); E above lowest polymorph = 0 meV/atom; E = -6.207 eV/atom
1.0
-3.3033 -2.2929 -2.0347
-0.1089 -2.5447 3.0444
-3.8330 1.9235 4.0553
La Ni Cr
2 1 1
Cartesian
-3.5727 -0.7689 6.6667
-2.9704 -1.1826 1.1644
-2.0221 -0.7629 4.1425
-4.5930 -1.1314 3.7409

---

Record 12
La2CrNi, optimized geometry, DFT GGA-PBE; SG = F-43m (216); E above lowest polymorph = 161 meV/atom; E = -6.046 eV/atom
1.0
4.9997 0.0000 0.0000
2.4999 4.3299 0.0000
2.4999 1.4433 4.0823
Cr Ni La
1 1 2
Cartesian
4.9997 2.8866 2.0411
7.4996 4.3299 3.0617
0.0000 0.0000 0.0000
2.4999 1.4433 1.0206

---

Q: The lowest E belongs to which entry?
A: number 10

---

Q: Which of these has the lowest E?
A: number 10